Compound: LaY4Ag5
Source: Alexandria
Functional: PBE
Structure: relaxed

Cell lengths 3.644, 3.644, 18.753 Å; angles 90.00, 90.00, 90.00 degrees
Fractional positions:
La 0.000 0.000 0.000
Y 0.000 0.000 0.206
Y 0.000 0.000 0.402
Y 0.000 0.000 0.598
Y 0.000 0.000 0.794
Ag 0.500 0.500 0.113
Ag 0.500 0.500 0.304
Ag 0.500 0.500 0.500
Ag 0.500 0.500 0.696
Ag 0.500 0.500 0.887

Computed properties:
For the total magnetization, the calculation gives 0.00 μB per atom. Its crystal system is tetragonal. As for the formation energy: -31 kJ/mol of atoms. Its space-group type is P4/mmm, No. 123. Its uncorrected energy is -4.822 eV/atom.

=====

Compound: LaY2Ag
Source: Alexandria
Functional: PBE
Structure: relaxed

Cell lengths 3.708, 5.080, 6.610 Å; angles 90.00, 105.62, 90.00 degrees
Fractional positions:
La 0.000 0.000 0.000
Y 0.394 0.500 0.726
Y 0.606 0.500 0.274
Ag 0.000 0.000 0.500

Computed properties:
For the total magnetization, the calculation gives 0.00 μB per atom. Its crystal system is monoclinic. As for the formation energy: -1 kJ/mol of atoms. Its space-group type is P2/m, No. 10. Its uncorrected energy is -5.184 eV/atom. The energy relative to the lowest polymorph listed for this composition is 0.124 eV/atom.

=====

Compound: LaY2Ag
Source: Alexandria
Functional: PBE
Structure: relaxed

Cell lengths 5.418, 5.418, 5.418 Å; angles 60.00, 60.00, 60.00 degrees
Fractional positions:
La 0.000 0.000 0.000
Y 0.250 0.250 0.250
Y 0.750 0.750 0.750
Ag 0.500 0.500 0.500

Computed properties:
For the total magnetization, the calculation gives 0.53 μB per atom. Its crystal system is cubic. As for the formation energy: 9 kJ/mol of atoms. Its space-group type is Fm-3m, No. 225. Its uncorrected energy is -5.086 eV/atom. The energy relative to the lowest polymorph listed for this composition is 0.222 eV/atom.